Record 1
Entry from the Alexandria database: a relaxed structure of DyMgSn (GGA-PBE).

The structure belongs to space group Cmcm (No. 63); the cell edges are 4.497, 10.951 and 6.280 Å and the angles 90.00°, 90.00° and 90.00°. The asymmetric unit holds Dy at (0.000, 0.196, 0.250), Mg at (0.000, 0.500, 0.000) and Sn at (0.000, 0.109, 0.750).

The calculation puts the total energy at -3.882 eV/atom. The value obtained for the magnetization is 0.000 μB/f.u. The calculation puts the density of states at the Fermi level at 0.8157 states/eV/atom.

=====

Record 2
Entry from the Alexandria database: a relaxed structure of DyMg2Sn2 (GGA-PBE).

The structure belongs to space group P6_3/mmc (No. 194); the cell edges are 4.9774, 4.9774 and 12.7358 Å and the angles 90.00°, 90.00° and 120.00°. The asymmetric unit holds Dy at (0.0000, 0.0000, 0.2500), Mg at (0.0000, 0.0000, 0.0000), Mg at (0.3333, 0.6667, 0.2500) and Sn at (0.3333, 0.6667, 0.6257).

The calculation puts the total energy at -3.226 eV/atom. The value obtained for the magnetization is 0.000 μB/f.u. The calculation puts the density of states at the Fermi level at 0.5812 states/eV/atom.

=====

Record 3
Entry from the Alexandria database: a relaxed structure of DyMgSn6 (GGA-PBE).

The structure belongs to space group P4/mmm (No. 123); the cell edges are 6.698, 6.698 and 4.605 Å and the angles 90.00°, 90.00° and 90.00°. The asymmetric unit holds Dy at (0.000, 0.000, 0.000), Mg at (0.500, 0.500, 0.000), Sn at (0.000, 0.500, 0.000) and Sn at (0.261, 0.261, 0.500).

The calculation puts the total energy at -4.004 eV/atom. The value obtained for the magnetization is 0.000 μB/f.u. The calculation puts the density of states at the Fermi level at 0.5372 states/eV/atom.

=====

Record 4
Entry from the Alexandria database: a relaxed structure of Dy5Mg3Sn12 (GGA-PBE).

The structure belongs to space group Ia-3d (No. 230); the cell edges are 17.545, 17.545 and 17.545 Å and the angles 90.00°, 90.00° and 90.00°. The asymmetric unit holds Dy at (0.000, 0.000, 0.000), Dy at (0.000, 0.250, 0.375), Mg at (0.000, 0.250, 0.125) and Sn at (0.008, 0.086, 0.652).

The calculation puts the total energy at -3.733 eV/atom. The value obtained for the magnetization is 0.000 μB/f.u. The calculation puts the density of states at the Fermi level at 0.8946 states/eV/atom.

=====

Record 5
Entry from the Alexandria database: a relaxed structure of Dy3MgSn3 (GGA-PBE).

The structure belongs to space group P6_3/m (No. 176); the cell edges are 9.2284, 9.2284 and 6.1439 Å and the angles 90.00°, 90.00° and 120.00°. The asymmetric unit holds Dy at (0.0400, 0.3526, 0.2500), Mg at (0.3333, 0.6667, 0.7500) and Sn at (0.0329, 0.3486, 0.7500).

The calculation puts the total energy at -4.295 eV/atom. The value obtained for the magnetization is 0.000 μB/f.u. The calculation puts the density of states at the Fermi level at 0.4693 states/eV/atom.

=====

Record 6
Entry from the Alexandria database: a relaxed structure of DyMgSn (GGA-PBE).

The structure belongs to space group I4/mmm (No. 139); the cell edges are 4.397, 4.397 and 15.905 Å and the angles 90.00°, 90.00° and 90.00°. The asymmetric unit holds Dy at (0.000, 0.000, 0.167), Mg at (0.000, 0.500, 0.000) and Sn at (0.000, 0.000, 0.364).

The calculation puts the total energy at -3.975 eV/atom. The value obtained for the magnetization is 0.000 μB/f.u. The calculation puts the density of states at the Fermi level at 0.4743 states/eV/atom.

=====

Record 7
Entry from the Alexandria database: a relaxed structure of Dy2MgSn (GGA-PBE).

The structure belongs to space group R-3m (No. 166, hexagonal axes); the cell edges are 3.4562, 3.4562 and 34.6056 Å and the angles 90.00°, 90.00° and 120.00°. The asymmetric unit holds Dy at (0.0000, 0.0000, 0.0902), Mg at (0.0000, 0.0000, 0.5000) and Sn at (0.0000, 0.0000, 0.0000).

The calculation puts the total energy at -3.640 eV/atom. The value obtained for the magnetization is 0.000 μB/f.u. The calculation puts the density of states at the Fermi level at 1.0167 states/eV/atom.

=====

Record 8
Entry from the Alexandria database: a relaxed structure of DyMgSn (GGA-PBE).

The structure belongs to space group P4/nmm (No. 129, origin choice 2); the cell edges are 4.393, 4.393 and 7.962 Å and the angles 90.00°, 90.00° and 90.00°. The asymmetric unit holds Dy at (0.250, 0.250, 0.148), Mg at (0.250, 0.750, 0.500) and Sn at (0.250, 0.250, 0.756).

The calculation puts the total energy at -3.904 eV/atom. The value obtained for the magnetization is 0.000 μB/f.u. The calculation puts the density of states at the Fermi level at 0.9662 states/eV/atom.

=====

Record 9
Entry from the Alexandria database: a relaxed structure of DyMgSn (GGA-PBE).

The structure belongs to space group P-6m2 (No. 187); the cell edges are 4.9261, 4.9261 and 3.5473 Å and the angles 90.00°, 90.00° and 120.00°. The asymmetric unit holds Dy at (0.0000, 0.0000, 0.0000), Mg at (0.3333, 0.6667, 0.5000) and Sn at (0.6667, 0.3333, 0.5000).

The calculation puts the total energy at -3.857 eV/atom. The value obtained for the magnetization is 0.000 μB/f.u. The calculation puts the density of states at the Fermi level at 0.3282 states/eV/atom.

=====

Record 10
Entry from the Alexandria database: a relaxed structure of Dy2Mg2Sn7 (GGA-PBE).

The structure belongs to space group C2/m (No. 12); the cell edges are 10.747, 9.416 and 5.958 Å and the angles 90.00°, 95.58° and 90.00°. The asymmetric unit holds Dy at (0.000, 0.195, 0.000), Mg at (0.245, 0.000, 0.225), Sn at (0.000, 0.000, 0.500), Sn at (0.031, 0.500, 0.260) and Sn at (0.236, 0.180, 0.727).

The calculation puts the total energy at -3.873 eV/atom. The value obtained for the magnetization is 0.000 μB/f.u. The calculation puts the density of states at the Fermi level at 0.5947 states/eV/atom.

=====

Record 11
Entry from the Alexandria database: a relaxed structure of Dy3MgSn2 (GGA-PBE).

The structure belongs to space group Ibam (No. 72); the cell edges are 6.369, 16.527 and 6.298 Å and the angles 90.00°, 90.00° and 90.00°. The asymmetric unit holds Dy at (0.000, 0.000, 0.250), Dy at (0.241, 0.324, 0.000), Mg at (0.000, 0.500, 0.250) and Sn at (0.246, 0.135, 0.000).

The calculation puts the total energy at -4.394 eV/atom. The value obtained for the magnetization is 0.002 μB/f.u. The calculation puts the density of states at the Fermi level at 1.3807 states/eV/atom.

=====

Record 12
Entry from the Alexandria database: a relaxed structure of Dy2Mg2Sn3 (GGA-PBE).

The structure belongs to space group C2/m (No. 12); the cell edges are 10.891, 4.643 and 9.155 Å and the angles 90.00°, 123.59° and 90.00°. The asymmetric unit holds Dy at (0.097, 0.000, 0.277), Mg at (0.191, 0.500, 0.866), Sn at (0.000, 0.500, 0.000) and Sn at (0.165, 0.000, 0.660).

The calculation puts the total energy at -3.849 eV/atom. The value obtained for the magnetization is 0.000 μB/f.u. The calculation puts the density of states at the Fermi level at 0.4738 states/eV/atom.